The following is a PBE-GGA calculation of crystalline Sr4Y2GaCu5Pb4O16 at its relaxed geometry, from Alexandria via LeMat-Bulk.

Properties
* spin magnetization: 0.56 μB per cell
* final energy: -6.07 eV/atom

a = 16.2950 Å, b = 16.2950 Å, c = 5.5055 Å
α = 99.13°, β = 99.13°, γ = 19.34°
With the nearest neighbours (Å) after each atom.
Fractional positions:
Sr (0.0000, 0.0000, 0.0000)  9 O 2.65-2.81
Sr (0.2187, 0.2187, 0.2045)  9 O 2.62-2.79
Sr (0.5001, 0.5001, 0.4993)  9 O 2.67-2.82
Sr (0.7190, 0.7190, 0.7057)  9 O 2.60-2.80
Y (0.1081, 0.1081, 0.1011)  8 O 2.39-2.48
Y (0.6082, 0.6082, 0.6011)  8 O 2.39-2.48
Ga (0.1677, 0.1677, 0.6573)  5 O 1.92-1.99
Cu (0.0589, 0.0589, 0.5546)  4 O 1.95
Cu (0.3589, 0.3589, 0.3456)  2 O 1.86-1.87
Cu (0.5601, 0.5601, 0.0556)  4 O 1.94
Cu (0.6621, 0.6621, 0.1522)  4 O 2.00
Cu (0.8588, 0.8588, 0.8551)  2 O 1.85-1.86
Pb (0.3028, 0.3028, 0.8011)  2 O 2.30-2.37
Pb (0.4150, 0.4150, 0.9024)  1 O 2.15
Pb (0.8037, 0.8037, 0.3007)  1 O 2.17
Pb (0.9158, 0.9158, 0.4058)  1 O 2.16
O (0.2303, 0.2303, 0.7150)  1 Ga 1.99
O (0.3009, 0.3009, 0.2295)  1 Cu 1.87
O (0.3142, 0.8138, 0.3092)  2 Cu 1.94-1.95
O (0.3141, 0.8139, 0.8095)  2 Cu 1.94-1.95
O (0.4002, 0.9127, 0.4035)  1 Ga 1.92, 1 Cu 2.00
O (0.4002, 0.9129, 0.8904)  1 Ga 1.92, 1 Cu 2.00
O (0.4163, 0.4163, 0.4630)  1 Cu 1.86
O (0.4826, 0.4826, 0.9854)  1 Pb 2.15
O (0.7352, 0.7352, 0.2202)  1 Pb 2.17, 1 Cu 2.32
O (0.8007, 0.8007, 0.7502)  1 Cu 1.86
O (0.8138, 0.3142, 0.3092)  2 Cu 1.94-1.95
O (0.8139, 0.3141, 0.8095)  2 Cu 1.94-1.95
O (0.9127, 0.4002, 0.4035)  1 Ga 1.92, 1 Cu 2.00
O (0.9129, 0.4002, 0.8904)  1 Ga 1.92, 1 Cu 2.00
O (0.9166, 0.9166, 0.9609)  1 Cu 1.85
O (0.9838, 0.9838, 0.4854)  1 Pb 2.16, 1 Cu 2.38

=====

The following is a PBE-GGA calculation of crystalline Pm2GaCuO6 at its relaxed geometry, from Alexandria via LeMat-Bulk.

Properties
* spin magnetization: 0.00 μB per cell
* final energy: -6.92 eV/atom

a = 5.3177 Å, b = 5.4175 Å, c = 9.7876 Å
α = 90.00°, β = 119.30°, γ = 90.00°
With the nearest neighbours (Å) after each atom.
Fractional positions:
Pm (0.2177, 0.0509, 0.2408)  6 O 2.29-2.54
Pm (0.2177, 0.4491, 0.7408)  6 O 2.29-2.54
Pm (0.7823, 0.5509, 0.2592)  6 O 2.29-2.54
Pm (0.7823, 0.9491, 0.7592)  6 O 2.29-2.54
Ga (0.5000, 0.0000, 0.0000)  6 O 1.89-2.11
Ga (0.5000, 0.5000, 0.5000)  6 O 1.89-2.11
Cu (0.0000, 0.0000, 0.5000)  4 O 1.88-1.89
Cu (0.0000, 0.5000, 0.0000)  4 O 1.88-1.89
O (0.1467, 0.2225, 0.9461)  1 Cu 1.88, 1 Ga 2.07
O (0.1467, 0.2775, 0.4461)  1 Cu 1.88, 1 Ga 2.07
O (0.2042, 0.7057, 0.9316)  1 Cu 1.89, 1 Ga 2.11
O (0.2042, 0.7943, 0.4316)  1 Cu 1.89, 1 Ga 2.11
O (0.3831, 0.0271, 0.7842)  1 Ga 1.89
O (0.3831, 0.4729, 0.2842)  1 Ga 1.89
O (0.6169, 0.5271, 0.7158)  1 Ga 1.89
O (0.6169, 0.9729, 0.2158)  1 Ga 1.89
O (0.7958, 0.2057, 0.5684)  1 Cu 1.89, 1 Ga 2.11
O (0.7958, 0.2943, 0.0684)  1 Cu 1.89, 1 Ga 2.11
O (0.8533, 0.7225, 0.5539)  1 Cu 1.88, 1 Ga 2.07
O (0.8533, 0.7775, 0.0539)  1 Cu 1.88, 1 Ga 2.07

=====

The following is a PBE-GGA calculation of crystalline PmGaCu2O4 at its relaxed geometry, from Alexandria via LeMat-Bulk.

Properties
* spin magnetization: 0.00 μB per cell
* final energy: -6.12 eV/atom

a = 5.0827 Å, b = 5.0827 Å, c = 5.0827 Å
α = 114.54°, β = 111.49°, γ = 102.61°
With the nearest neighbours (Å) after each atom.
Fractional positions:
Pm (0.0000, 0.0000, 0.0000)  8 O 2.49-2.76
Ga (0.5000, 0.5000, 0.0000)  4 O 1.88
Cu (0.3003, 0.8003, 0.5000)  2 O 1.94
Cu (0.6997, 0.1997, 0.5000)  2 O 1.94
O (0.1414, 0.1177, 0.6277)  1 Ga 1.88, 1 Cu 1.94
O (0.4900, 0.5137, 0.3723)  1 Ga 1.88, 1 Cu 1.94
O (0.5100, 0.8823, 0.0237)  1 Ga 1.88, 1 Cu 1.94
O (0.8586, 0.4863, 0.9763)  1 Ga 1.88, 1 Cu 1.94

=====

The following is a PBE-GGA calculation of crystalline Pr2GaCuO6 at its relaxed geometry, from Alexandria via LeMat-Bulk.

Properties
* spin magnetization: 0.00 μB per cell
* final energy: -6.89 eV/atom

a = 5.4087 Å, b = 5.3999 Å, c = 9.8712 Å
α = 90.00°, β = 119.96°, γ = 90.00°
With the nearest neighbours (Å) after each atom.
Fractional positions:
Pr (0.2234, 0.0384, 0.2420)  6 O 2.35-2.57
Pr (0.2234, 0.4616, 0.7420)  6 O 2.35-2.57
Pr (0.7766, 0.5384, 0.2580)  6 O 2.35-2.57
Pr (0.7766, 0.9616, 0.7580)  6 O 2.35-2.57
Ga (0.5000, 0.0000, 0.0000)  6 O 1.90-2.09
Ga (0.5000, 0.5000, 0.5000)  6 O 1.90-2.09
Cu (0.0000, 0.0000, 0.5000)  4 O 1.88-1.89
Cu (0.0000, 0.5000, 0.0000)  4 O 1.88-1.89
O (0.1568, 0.2285, 0.9489)  1 Cu 1.88, 1 Ga 2.07
O (0.1568, 0.2715, 0.4489)  1 Cu 1.88, 1 Ga 2.07
O (0.2040, 0.7126, 0.9387)  1 Cu 1.89, 1 Ga 2.09
O (0.2040, 0.7874, 0.4387)  1 Cu 1.89, 1 Ga 2.09
O (0.3706, 0.0163, 0.7828)  1 Ga 1.90
O (0.3706, 0.4837, 0.2828)  1 Ga 1.90
O (0.6294, 0.5163, 0.7172)  1 Ga 1.90
O (0.6294, 0.9837, 0.2172)  1 Ga 1.90
O (0.7960, 0.2126, 0.5613)  1 Cu 1.89, 1 Ga 2.09
O (0.7960, 0.2874, 0.0613)  1 Cu 1.89, 1 Ga 2.09
O (0.8432, 0.7285, 0.5511)  1 Cu 1.88, 1 Ga 2.07
O (0.8432, 0.7715, 0.0511)  1 Cu 1.88, 1 Ga 2.07